# 1
# GGA-PBE Dy2MgZn, relaxed
data_Dy2MgZn
_cell_length_a 3.365
_cell_length_b 3.365
_cell_length_c 11.633
_cell_angle_alpha 81.68
_cell_angle_beta 81.68
_cell_angle_gamma 60.00
_symmetry_space_group_name_H-M 'P 1'
_symmetry_Int_Tables_number 1
_symmetry_space_group_name_Hall 'P 1'
loop_
_atom_site_label
_atom_site_type_symbol
_atom_site_fract_x
_atom_site_fract_y
_atom_site_fract_z
Zn1 Zn 0.000 0.000 0.000
Dy1 Dy 0.089 0.089 0.733
Dy2 Dy 0.911 0.911 0.267
Mg1 Mg 0.500 0.500 0.500
# **M_tot**: 0.00 μB/f.u.
# **ρ**: 6.12 g cm⁻³
# **Volume**: 28.113 A^3/atom
# **Fermi-level density of states**: 0.827 states/eV/atom
# **DFT formation energy**: 266 meV/atom

***

# 2
# GGA-PBE CaMg2Os, relaxed
data_CaMg2Os
_cell_length_a 10.213
_cell_length_b 10.213
_cell_length_c 10.213
_cell_angle_alpha 17.57
_cell_angle_beta 17.57
_cell_angle_gamma 17.57
_symmetry_space_group_name_H-M 'P 1'
_symmetry_Int_Tables_number 1
_symmetry_space_group_name_Hall 'P 1'
loop_
_atom_site_label
_atom_site_type_symbol
_atom_site_fract_x
_atom_site_fract_y
_atom_site_fract_z
Os1 Os 0.504 0.504 0.504
Mg1 Mg 0.995 0.995 0.995
Mg2 Mg 0.238 0.238 0.238
Ca1 Ca 0.763 0.763 0.763
# **M_tot**: 0.00 μB/f.u.
# **ρ**: 5.47 g cm⁻³
# **Volume**: 21.181 A^3/atom
# **Fermi-level density of states**: 1.026 states/eV/atom
# **DFT formation energy**: 414 meV/atom

***

# 3
# GGA-PBE Zn3SCl, relaxed
data_Zn3SCl
_cell_length_a 4.966
_cell_length_b 4.966
_cell_length_c 4.966
_cell_angle_alpha 90.00
_cell_angle_beta 90.00
_cell_angle_gamma 90.00
_symmetry_space_group_name_H-M 'P 1'
_symmetry_Int_Tables_number 1
_symmetry_space_group_name_Hall 'P 1'
loop_
_atom_site_label
_atom_site_type_symbol
_atom_site_fract_x
_atom_site_fract_y
_atom_site_fract_z
S1 S 0.000 0.000 0.000
Zn1 Zn 0.000 0.000 0.500
Zn2 Zn 0.000 0.500 0.000
Zn3 Zn 0.500 0.000 0.000
Cl1 Cl 0.500 0.500 0.500
# **M_tot**: 0.00 μB/f.u.
# **ρ**: 3.58 g cm⁻³
# **Volume**: 24.500 A^3/atom
# **Fermi-level density of states**: 0.254 states/eV/atom
# **E_form (uncorrected)**: 0.070 eV per atom

***

# 4
# GGA-PBE NaPrZrNbO6, relaxed
data_NaPrZrNbO6
_cell_length_a 5.804
_cell_length_b 5.804
_cell_length_c 5.804
_cell_angle_alpha 60.00
_cell_angle_beta 60.00
_cell_angle_gamma 60.00
_symmetry_space_group_name_H-M 'P 1'
_symmetry_Int_Tables_number 1
_symmetry_space_group_name_Hall 'P 1'
loop_
_atom_site_label
_atom_site_type_symbol
_atom_site_fract_x
_atom_site_fract_y
_atom_site_fract_z
Pr1 Pr 0.250 0.250 0.250
O1 O 0.754 0.754 0.246
O2 O 0.246 0.754 0.754
O3 O 0.754 0.246 0.246
O4 O 0.246 0.246 0.754
O5 O 0.246 0.754 0.246
O6 O 0.754 0.246 0.754
Na1 Na 0.750 0.750 0.750
Zr1 Zr 0.500 0.500 0.500
Nb1 Nb 0.000 0.000 0.000
# **M_tot**: 0.00 μB/f.u.
# **ρ**: 5.33 g cm⁻³
# **Volume**: 13.823 A^3/atom
# **Fermi-level density of states**: 0.219 states/eV/atom
# **E_form (uncorrected)**: -2.726 eV per atom

***

# 5
# GGA-PBE Zr3AgSn, relaxed
data_Zr3AgSn
_cell_length_a 5.127
_cell_length_b 5.127
_cell_length_c 5.127
_cell_angle_alpha 90.00
_cell_angle_beta 90.00
_cell_angle_gamma 90.00
_symmetry_space_group_name_H-M 'P 1'
_symmetry_Int_Tables_number 1
_symmetry_space_group_name_Hall 'P 1'
loop_
_atom_site_label
_atom_site_type_symbol
_atom_site_fract_x
_atom_site_fract_y
_atom_site_fract_z
Zr1 Zr 0.000 0.500 0.000
Zr2 Zr 0.500 0.000 0.000
Zr3 Zr 0.000 0.000 0.500
Ag1 Ag 0.000 0.000 0.000
Sn1 Sn 0.500 0.500 0.500
# **M_tot**: 0.00 μB/f.u.
# **ρ**: 6.16 g cm⁻³
# **Volume**: 26.958 A^3/atom
# **Fermi-level density of states**: 0.867 states/eV/atom
# **DFT formation energy**: 624 meV/atom

***

# 6
# GGA-PBE AcEr2CrN4, relaxed
data_AcEr2CrN4
_cell_length_a 3.456
_cell_length_b 6.158
_cell_length_c 11.593
_cell_angle_alpha 90.00
_cell_angle_beta 90.00
_cell_angle_gamma 106.29
_symmetry_space_group_name_H-M 'P 1'
_symmetry_Int_Tables_number 1
_symmetry_space_group_name_Hall 'P 1'
loop_
_atom_site_label
_atom_site_type_symbol
_atom_site_fract_x
_atom_site_fract_y
_atom_site_fract_z
N1 N 0.261 0.523 0.378
N2 N 0.411 0.822 0.750
N3 N 0.589 0.178 0.250
N4 N 0.000 0.000 0.000
N5 N 0.000 0.000 0.500
N6 N 0.739 0.477 0.878
N7 N 0.261 0.523 0.122
N8 N 0.739 0.477 0.622
Ac1 Ac 0.091 0.182 0.750
Ac2 Ac 0.909 0.818 0.250
Er1 Er 0.369 0.738 0.956
Er2 Er 0.369 0.738 0.544
Er3 Er 0.631 0.262 0.456
Er4 Er 0.631 0.262 0.044
Cr1 Cr 0.171 0.343 0.250
Cr2 Cr 0.829 0.657 0.750
# **M_tot**: 2.00 μB/f.u.
# **ρ**: 9.39 g cm⁻³
# **Volume**: 14.799 A^3/atom
# **Fermi-level density of states**: 0.365 states/eV/atom
# **E_form (uncorrected)**: -1.268 eV per atom